The following is a DFT calculation (GGA-PBE) of a relaxed CsBa2RhPb crystal.

Output
spin magnetization: 0.00 μB per cell
E_tot: -0.244 Ry/atom

abc: 6.188 6.188 5.482
angles: 90.00 90.00 90.00
Space group P4/mmm (No. 123)
Inequivalent atoms, fractional coordinates:
Cs1 0.000 0.000 0.000
Ba1 0.000 0.500 0.500
Rh1 0.500 0.500 0.500
Pb1 0.500 0.500 0.000